Record 1
PrAl2AgPd | GGA-PBE | optimized geometry

Computed properties:
The calculated volume is 20.26 Å³ per atom. The calculation puts the raw total energy at -4.64 eV/atom. As for the symmetry: P4/nmm (129). The magnetization comes out at 0.02 Bohr magnetons per cell.

```
PrAl2AgPd
1.0
-2.101 0.572 -3.820
-2.503 -3.514 0.850
-7.009 6.147 4.775
Ag Al Pd Pr
2 4 2 2
Direct
0.000 0.500 0.362
0.500 0.000 0.638
0.000 0.500 0.117
0.000 0.000 0.500
0.500 0.500 0.500
0.500 0.000 0.883
0.000 0.000 0.000
0.500 0.500 0.000
0.500 0.000 0.243
0.000 0.500 0.757
```



Record 2
YCuBPd | GGA-PBE | optimized geometry

Computed properties:
As for the relative energy among the computed polymorphs: 81 meV/atom. The calculated volume is 15.49 Å³ per atom. As for the symmetry: F-43m (216). The magnetization comes out at 0.00 Bohr magnetons per cell.

```
YCuBPd
1.0
-4.291 -1.005 0.550
-3.129 2.973 -1.048
-2.597 -0.665 -3.541
B Cu Pd Y
1 1 1 1
Direct
0.000 0.000 0.000
0.750 0.750 0.750
0.250 0.250 0.250
0.500 0.500 0.500
```



Record 3
HfAl2Cu2 | GGA-PBE | optimized geometry

Computed properties:
The calculated volume is 15.48 Å³ per atom. The calculation puts the raw total energy at -5.22 eV/atom. As for the symmetry: I4/mmm (139). The magnetization comes out at 0.00 Bohr magnetons per cell.

```
HfAl2Cu2
1.0
-1.930 1.930 5.196
1.930 -1.930 5.196
1.930 1.930 -5.196
Al Cu Hf
2 2 1
Direct
0.750 0.250 0.500
0.250 0.750 0.500
0.391 0.391 0.000
0.609 0.609 0.000
0.000 0.000 0.000
```



Record 4
HoMoAu | GGA-PBE | optimized geometry

Computed properties:
As for the relative energy among the computed polymorphs: 0 meV/atom. The value obtained for the energy relative to the elements is 0.628 eV/atom. The calculated volume is 23.52 Å³ per atom. As for the symmetry: F-43m (216). The magnetization comes out at 2.82 Bohr magnetons per cell.

```
HoMoAu
1.0
0.000 3.280 3.280
3.280 0.000 3.280
3.280 3.280 0.000
Au Ho Mo
1 1 1
Direct
0.250 0.250 0.250
0.750 0.750 0.750
0.000 0.000 0.000
```